[1]
Density functional theory data (PBE-GGA) for a relaxed ZrTaSb2 crystal.

Cell: 4.9288 4.9288 4.9288 Å, 60.00 60.00 60.00°
With the nearest neighbours (Å) after each atom.
Element x y z (fractional)
Sb  0.2500  0.2500  0.2500  4 Ta 3.02, 4 Zr 3.02
Sb  0.7500  0.7500  0.7500  4 Zr 3.02, 4 Ta 3.02
Zr  0.0000  0.0000  0.0000  8 Sb 3.02
Ta  0.5000  0.5000  0.5000  8 Sb 3.02

Properties
offset from the most stable computed form	0.42	eV per formula unit
formation energy from raw total energies	-0.182	eV per atom
spin magnetization	0.000	μB/f.u.
space-group type	No. 225


[2]
Density functional theory data (PBE-GGA) for a relaxed V2CdCl8 crystal.

Cell: 6.3816 7.7769 7.7769 Å, 75.38 83.80 83.80°
With the nearest neighbours (Å) after each atom.
Element x y z (fractional)
V  0.6532  0.7992  0.7992  4 Cl 2.17-2.27
V  0.3468  0.2008  0.2008  4 Cl 2.17-2.27
Cd  0.0000  0.0000  0.0000  6 Cl 2.66-2.77
Cl  0.2222  0.2834  0.9263  1 V 2.27
Cl  0.7778  0.0737  0.7166  1 V 2.27
Cl  0.2982  0.8142  0.8142  1 V 2.25
Cl  0.7018  0.1858  0.1858  1 V 2.25
Cl  0.2222  0.9263  0.2834  1 V 2.27
Cl  0.7778  0.7166  0.0737  1 V 2.27
Cl  0.7850  0.6271  0.6271  1 V 2.17
Cl  0.2150  0.3729  0.3729  1 V 2.17

Properties
formation energy from raw total energies	-1.090	eV per atom
spin magnetization	4.000	μB/f.u.
space-group type	No. 12


[3]
Density functional theory data (PBE-GGA) for a relaxed Hg2PtSe crystal.

Cell: 7.3252 7.3252 7.3252 Å, 156.20 145.20 42.60°
With the nearest neighbours (Å) after each atom.
Element x y z (fractional)
Hg  0.9381  0.9381  0.0000  2 Pt 2.98, 6 Hg 3.02-3.15
Hg  0.5619  0.5619  0.0000  2 Pt 2.98, 6 Hg 3.02-3.15
Pt  0.7500  0.2500  0.5000  4 Se 2.66, 4 Hg 2.98
Se  0.2500  0.7500  0.5000  4 Pt 2.66

Properties
offset from the most stable computed form	0.56	eV per formula unit
formation energy from raw total energies	0.090	eV per atom
spin magnetization	0.000	μB/f.u.
space-group type	No. 71


[4]
Density functional theory data (PBE-GGA) for a relaxed TbFe3B3 crystal.

Cell: 3.0421 7.7087 7.7107 Å, 119.99 90.00 90.00°
With the nearest neighbours (Å) after each atom.
Element x y z (fractional)
Tb  0.7500  0.3334  0.6667  9 B 2.51-2.56
Tb  0.2500  0.6666  0.3333  9 B 2.51-2.56
Fe  0.7500  0.7626  0.0695  4 B 2.10-2.34
Fe  0.7500  0.3070  0.2375  4 B 2.10-2.34
Fe  0.7500  0.9304  0.6929  4 B 2.10-2.34
Fe  0.2500  0.2374  0.9305  4 B 2.10-2.34
Fe  0.2500  0.6930  0.7625  4 B 2.10-2.34
Fe  0.2500  0.0696  0.3071  4 B 2.10-2.34
B  0.7500  0.9654  0.4187  2 B 1.87, 2 Fe 2.10
B  0.7500  0.4532  0.0346  2 B 1.87, 2 Fe 2.10
B  0.7500  0.5814  0.5467  2 B 1.87, 2 Fe 2.10
B  0.2500  0.0346  0.5813  2 B 1.87, 2 Fe 2.10
B  0.2500  0.5468  0.9654  2 B 1.87, 2 Fe 2.10
B  0.2500  0.4186  0.4533  2 B 1.87, 2 Fe 2.10

Properties
offset from the most stable computed form	0.00	eV per formula unit
spin magnetization	4.849	μB/f.u.
formation enthalpy at 0 K	-0.63	eV per formula unit
space-group type	No. 176


[5]
Density functional theory data (PBE-GGA) for a relaxed Dy2ZnO crystal.

Cell: 3.4611 3.4611 8.8235 Å, 78.69 78.69 60.00°
With the nearest neighbours (Å) after each atom.
Element x y z (fractional)
Zn  0.0000  0.0000  0.0000  2 Dy 2.96
O  0.5000  0.5000  0.5000  6 Dy 2.40
Dy  0.1149  0.1149  0.6554  3 O 2.40
Dy  0.8851  0.8851  0.3446  3 O 2.40

Properties
formation energy from raw total energies	-1.078	eV per atom
spin magnetization	0.000	μB/f.u.
space-group type	No. 166


[6]
Density functional theory data (PBE-GGA) for a relaxed ReTeRh2 crystal.

Cell: 5.8077 5.8077 6.9591 Å, 65.34 65.34 90.00°
With the nearest neighbours (Å) after each atom.
Element x y z (fractional)
Re  0.0000  0.0000  0.0000  4 Rh 2.39
Re  0.7500  0.2500  0.5000  4 Rh 2.39
Te  0.5000  0.5000  0.0000  4 Rh 2.59
Te  0.2500  0.7500  0.5000  4 Rh 2.59
Rh  0.6550  0.1250  0.2500  2 Re 2.39, 2 Te 2.59
Rh  0.0950  0.6250  0.2500  2 Re 2.39, 2 Te 2.59
Rh  0.3750  0.3450  0.7500  2 Re 2.39, 2 Te 2.59
Rh  0.8750  0.9050  0.7500  2 Re 2.39, 2 Te 2.59

Properties
formation energy from raw total energies	0.623	eV per atom
spin magnetization	0.000	μB/f.u.
space-group type	No. 122